# FeReSnW (PBE-GGA, optimized geometry)
data_FeReSnW
_chemical_formula_sum 'Fe1 Re1 Sn1 W1'
_cell_length_a 4.4350
_cell_length_b 4.4350
_cell_length_c 4.4350
_cell_angle_alpha 60.00
_cell_angle_beta 60.00
_cell_angle_gamma 60.00
_symmetry_space_group_name_H-M 'P 1'
_symmetry_Int_Tables_number 1
loop_
_symmetry_equiv_pos_as_xyz
'x,y,z'
loop_
_atom_site_label
_atom_site_type_symbol
_atom_site_fract_x
_atom_site_fract_y
_atom_site_fract_z
Fe1 Fe 0.7500 0.7500 0.7500
Re1 Re 0.2500 0.2500 0.2500
Sn1 Sn 0.0000 0.0000 0.0000
W1 W 0.5000 0.5000 0.5000
# Volume   15.42 Å³ per atom
# Symmetry   F-43m
# Energy relative to the lowest polymorph listed for this composition   0.000 eV/atom